Run P
Compound: VCu3Cl
Source: Alexandria
Functional: GGA-PBE
Structure: optimized geometry

```
VCu3Cl
1.0
4.7195 0.0000 0.0000
0.0000 4.7195 0.0000
0.0000 0.0000 4.7195
V Cu Cl
1 3 1
Direct
0.0000 0.0000 0.0000
0.0000 0.0000 0.5000
0.0000 0.5000 0.0000
0.5000 0.0000 0.0000
0.5000 0.5000 0.5000
```

Magnetization   2.89 μB per cell
Crystal system   cubic

=====

Run Q
Compound: VCu3Cl
Source: Alexandria
Functional: GGA-PBE
Structure: optimized geometry

```
VCu3Cl
1.0
4.4579 0.0000 0.0000
0.0000 4.4579 0.0000
0.0000 0.0000 4.4579
V Cu Cl
1 3 1
Direct
0.0000 0.0000 0.0000
0.0000 0.5000 0.5000
0.5000 0.0000 0.5000
0.5000 0.5000 0.0000
0.5000 0.5000 0.5000
```

Magnetization   3.97 μB per cell
Crystal system   cubic

=====

Relative stability in meV per atom, measured from the most stable structure: run P 214; run Q 0

=====

Run P
Compound: V3CuCl
Source: Alexandria
Functional: GGA-PBE
Structure: optimized geometry

```
V3CuCl
1.0
4.6690 0.0000 0.0000
0.0000 4.6690 0.0000
0.0000 0.0000 4.6690
V Cu Cl
3 1 1
Direct
0.0000 0.0000 0.5000
0.0000 0.5000 0.0000
0.5000 0.0000 0.0000
0.0000 0.0000 0.0000
0.5000 0.5000 0.5000
```

Magnetization   7.71 μB per cell
Crystal system   cubic

=====

Run Q
Compound: V3CuCl
Source: Alexandria
Functional: GGA-PBE
Structure: optimized geometry

```
V3CuCl
1.0
4.2508 0.0000 0.0000
0.0000 4.2508 0.0000
0.0000 0.0000 4.2508
V Cu Cl
3 1 1
Direct
0.0000 0.0000 0.5000
0.0000 0.5000 0.0000
0.5000 0.0000 0.0000
0.5000 0.5000 0.5000
0.0000 0.0000 0.0000
```

Magnetization   3.35 μB per cell
Crystal system   cubic

=====

Relative stability in meV per atom, measured from the most stable structure: run P 607; run Q 0

=====

Run P
Compound: CuWCl2
Source: Alexandria
Functional: GGA-PBE
Structure: optimized geometry

```
CuWCl2
1.0
0.0000 3.2795 3.2795
3.2795 0.0000 3.2795
3.2795 3.2795 0.0000
Cu W Cl
1 1 2
Direct
0.0000 0.0000 0.0000
0.2500 0.2500 0.2500
0.5000 0.5000 0.5000
0.7500 0.7500 0.7500
```

Magnetization   3.00 μB per cell
Crystal system   cubic

=====

Run Q
Compound: CuWCl2
Source: Alexandria
Functional: GGA-PBE
Structure: optimized geometry

```
CuWCl2
1.0
2.9718 0.0000 0.0000
0.0000 2.9718 0.0000
0.0000 0.0000 8.0987
Cu W Cl
1 1 2
Direct
0.0000 0.0000 0.0000
0.5000 0.5000 0.2184
0.0000 0.0000 0.4083
0.5000 0.5000 0.8204
```

Magnetization   0.00 μB per cell
Crystal system   tetragonal

=====

Run R
Compound: CuWCl2
Source: Alexandria
Functional: GGA-PBE
Structure: optimized geometry

```
CuWCl2
1.0
1.5346 -2.6270 0.0000
1.5346 2.6270 0.0000
0.0000 0.0000 9.2905
Cu W Cl
1 1 2
Direct
0.0000 0.0000 0.0000
0.5000 0.5000 0.7750
0.0000 0.0000 0.5665
0.5000 0.5000 0.1827
```

Magnetization   0.00 μB per cell
Crystal system   orthorhombic

=====

Run S
Compound: CuWCl2
Source: Alexandria
Functional: GGA-PBE
Structure: optimized geometry

```
CuWCl2
1.0
0.0000 3.1120 3.1120
3.1120 0.0000 3.1120
3.1120 3.1120 0.0000
Cu W Cl
1 1 2
Direct
0.0000 0.0000 0.0000
0.5000 0.5000 0.5000
0.2500 0.2500 0.2500
0.7500 0.7500 0.7500
```

Magnetization   0.67 μB per cell
Crystal system   cubic

=====

Relative stability in meV per atom, measured from the most stable structure: run P 1049; run Q 49; run R 0; run S 755